{"formula": "CePm2UO8", "functional": "GGA-PBE", "state": "relaxed", "lattice": [[-3.358, 1.151, -1.493], [-1.940, -5.122, 0.510], [-2.557, 1.669, 7.038]], "species": ["O", "O", "O", "O", "O", "O", "O", "O", "Ce", "Pm", "Pm", "U"], "fractional_positions": [[0.003, 0.767, 0.770], [0.997, 0.233, 0.230], [0.502, 0.758, 0.500], [0.003, 0.767, 0.230], [0.997, 0.233, 0.770], [0.504, 0.775, 0.000], [0.498, 0.242, 0.500], [0.496, 0.225, 0.000], [0.000, 0.000, 0.500], [0.500, 0.500, 0.249], [0.500, 0.500, 0.751], [0.000, 0.000, 0.000]], "spacegroup": "P2/m", "energy_ha_per_atom": -0.3282, "m_tot_mub_per_cell": 0.00}